1.
The following is a PBE-GGA calculation of Cs2CdCl6O after structural relaxation, from the Alexandria database.

a = 7.6974 Å, b = 7.6974 Å, c = 7.6974 Å
α = 125.23°, β = 125.23°, γ = 81.16°
With the nearest neighbours (Å) after each atom.
Element x y z (fractional)
Cs 0.2500 0.7500 0.5000  12 Cl 3.58-3.86
Cs 0.7500 0.2500 0.5000  12 Cl 3.58-3.86
Cd 0.0000 0.0000 0.0000  2 Cl 2.41
Cl 0.2065 0.2065 0.0000  1 Cd 2.41
Cl 0.2833 0.2833 0.5665  1 O 2.17
Cl 0.2833 0.7167 0.0000  1 O 2.17
Cl 0.7167 0.2833 0.0000  1 O 2.17
Cl 0.7167 0.7167 0.4335  1 O 2.17
Cl 0.7935 0.7935 0.0000  1 Cd 2.41
O 0.5000 0.5000 0.0000  4 Cl 2.17

---

2.
The following is a PBE-GGA calculation of Cs2CdOsCl6 after structural relaxation, from the Alexandria database.

a = 7.4038 Å, b = 7.4038 Å, c = 7.4038 Å
α = 119.83°, β = 119.83°, γ = 90.29°
With the nearest neighbours (Å) after each atom.
Element x y z (fractional)
Cs 0.2500 0.7500 0.5000  12 Cl 3.71-3.72
Cs 0.7500 0.2500 0.5000  12 Cl 3.71-3.72
Cd 0.0000 0.0000 0.0000  6 Cl 2.80-2.83
Os 0.5000 0.5000 0.0000  6 Cl 2.42
Cl 0.2682 0.2682 0.0000  1 Os 2.42
Cl 0.2697 0.2697 0.5394  1 Os 2.42
Cl 0.2697 0.7303 0.0000  1 Os 2.42
Cl 0.7303 0.2697 0.0000  1 Os 2.42
Cl 0.7303 0.7303 0.4606  1 Os 2.42
Cl 0.7318 0.7318 0.0000  1 Os 2.42

---

3.
The following is a PBE-GGA calculation of CsCdP2Cl after structural relaxation, from the Alexandria database.

a = 5.0685 Å, b = 5.0685 Å, c = 6.2335 Å
α = 90.00°, β = 90.00°, γ = 90.00°
With the nearest neighbours (Å) after each atom.
Element x y z (fractional)
Cs 0.0000 0.0000 0.0000  4 Cl 3.58
Cd 0.5000 0.5000 0.5000  4 P 2.53
P 0.0000 0.5000 0.5000  2 Cd 2.53
P 0.5000 0.0000 0.5000  2 Cd 2.53
Cl 0.5000 0.5000 0.0000  2 Cd 3.12

---

4.
The following is a PBE-GGA calculation of CsCdP2Cl after structural relaxation, from the Alexandria database.

a = 6.8533 Å, b = 6.8533 Å, c = 6.6619 Å
α = 90.00°, β = 90.00°, γ = 90.00°
With the nearest neighbours (Å) after each atom.
Element x y z (fractional)
Cs 0.0000 0.0000 0.0000  2 Cl 3.33, 4 P 3.43
Cd 0.5000 0.5000 0.5000  8 P 4.78, 4 Cl 4.85
P 0.0000 0.5000 0.0000  2 Cs 3.43
P 0.5000 0.0000 0.0000  2 Cs 3.43
Cl 0.0000 0.0000 0.5000  2 Cs 3.33

---

5.
The following is a PBE-GGA calculation of Cs2CdPCl6 after structural relaxation, from the Alexandria database.

a = 7.4594 Å, b = 7.4594 Å, c = 7.4594 Å
α = 119.73°, β = 119.73°, γ = 90.47°
With the nearest neighbours (Å) after each atom.
Element x y z (fractional)
Cs 0.2500 0.7500 0.5000  12 Cl 3.73-3.75
Cs 0.7500 0.2500 0.5000  12 Cl 3.73-3.75
Cd 0.0000 0.0000 0.0000  6 Cl 2.70-2.83
P 0.5000 0.5000 0.0000  6 Cl 2.47-2.56
Cl 0.2567 0.2567 0.0000  1 P 2.56, 1 Cd 2.70
Cl 0.2668 0.2668 0.5336  1 P 2.47
Cl 0.2668 0.7332 0.0000  1 P 2.47
Cl 0.7332 0.2668 0.0000  1 P 2.47
Cl 0.7332 0.7332 0.4664  1 P 2.47
Cl 0.7433 0.7433 0.0000  1 P 2.56, 1 Cd 2.70

---

6.
The following is a PBE-GGA calculation of CsCdPCl2 after structural relaxation, from the Alexandria database.

a = 5.6591 Å, b = 5.6591 Å, c = 5.1083 Å
α = 90.00°, β = 90.00°, γ = 90.00°
With the nearest neighbours (Å) after each atom.
Element x y z (fractional)
Cs 0.0000 0.0000 0.0000  8 Cl 3.81, 4 P 4.00
Cd 0.5000 0.5000 0.5000  2 P 2.55, 4 Cl 2.83
P 0.5000 0.5000 0.0000  2 Cd 2.55
Cl 0.0000 0.5000 0.5000  2 Cd 2.83
Cl 0.5000 0.0000 0.5000  2 Cd 2.83

---

7.
The following is a PBE-GGA calculation of CsCdPCl2 after structural relaxation, from the Alexandria database.

a = 6.1676 Å, b = 6.1676 Å, c = 6.0198 Å
α = 90.00°, β = 90.00°, γ = 90.00°
With the nearest neighbours (Å) after each atom.
Element x y z (fractional)
Cs 0.0000 0.0000 0.0000  2 P 3.01, 4 Cl 3.08
Cd 0.5000 0.5000 0.5000  8 Cl 4.31, 4 P 4.36
P 0.0000 0.0000 0.5000  2 Cs 3.01
Cl 0.0000 0.5000 0.0000  2 Cs 3.08
Cl 0.5000 0.0000 0.0000  2 Cs 3.08

---

8.
The following is a PBE-GGA calculation of Cs3Cd2PbCl9 after structural relaxation, from the Alexandria database.

a = 7.7021 Å, b = 7.7021 Å, c = 9.4664 Å
α = 90.00°, β = 90.00°, γ = 120.00°
With the nearest neighbours (Å) after each atom.
Element x y z (fractional)
Cs 0.0000 0.0000 0.0000  12 Cl 3.83-3.85
Cs 0.3333 0.6667 0.6720  12 Cl 3.82-3.94
Cs 0.6667 0.3333 0.3280  12 Cl 3.82-3.94
Cd 0.3333 0.6667 0.1574  6 Cl 2.65-2.68
Cd 0.6667 0.3333 0.8426  6 Cl 2.65-2.68
Pb 0.0000 0.0000 0.5000  6 Cl 2.85
Cl 0.0000 0.5000 0.0000  2 Cd 2.68
Cl 0.1729 0.3458 0.3225  1 Cd 2.65, 1 Pb 2.85
Cl 0.1729 0.8271 0.3225  1 Cd 2.65, 1 Pb 2.85
Cl 0.3458 0.1729 0.6775  1 Cd 2.65, 1 Pb 2.85
Cl 0.5000 0.0000 0.0000  2 Cd 2.68
Cl 0.5000 0.5000 0.0000  2 Cd 2.68
Cl 0.6542 0.8271 0.3225  1 Cd 2.65, 1 Pb 2.85
Cl 0.8271 0.1729 0.6775  1 Cd 2.65, 1 Pb 2.85
Cl 0.8271 0.6542 0.6775  1 Cd 2.65, 1 Pb 2.85

---

9.
The following is a PBE-GGA calculation of Cs4Cd3PbCl12 after structural relaxation, from the Alexandria database.

a = 9.3950 Å, b = 9.3950 Å, c = 9.3950 Å
α = 109.47°, β = 109.47°, γ = 109.47°
With the nearest neighbours (Å) after each atom.
Element x y z (fractional)
Cs 0.0000 0.0000 0.5000  12 Cl 3.84
Cs 0.0000 0.5000 0.0000  12 Cl 3.84
Cs 0.5000 0.0000 0.0000  12 Cl 3.84
Cs 0.5000 0.5000 0.5000  12 Cl 3.84
Cd 0.0000 0.5000 0.5000  6 Cl 2.59-2.71
Cd 0.5000 0.0000 0.5000  6 Cl 2.59-2.71
Cd 0.5000 0.5000 0.0000  6 Cl 2.59-2.71
Pb 0.0000 0.0000 0.0000  6 Cl 2.83
Cl 0.0000 0.2609 0.2609  1 Cd 2.59, 1 Pb 2.83
Cl 0.0000 0.7391 0.7391  1 Cd 2.59, 1 Pb 2.83
Cl 0.2500 0.5000 0.7500  2 Cd 2.71
Cl 0.2500 0.7500 0.5000  2 Cd 2.71
Cl 0.2609 0.0000 0.2609  1 Cd 2.59, 1 Pb 2.83
Cl 0.2609 0.2609 0.0000  1 Cd 2.59, 1 Pb 2.83
Cl 0.5000 0.2500 0.7500  2 Cd 2.71
Cl 0.5000 0.7500 0.2500  2 Cd 2.71
Cl 0.7391 0.0000 0.7391  1 Cd 2.59, 1 Pb 2.83
Cl 0.7391 0.7391 0.0000  1 Cd 2.59, 1 Pb 2.83
Cl 0.7500 0.2500 0.5000  2 Cd 2.71
Cl 0.7500 0.5000 0.2500  2 Cd 2.71

---

10.
The following is a PBE-GGA calculation of CsCdPbCl6 after structural relaxation, from the Alexandria database.

a = 7.0894 Å, b = 7.0894 Å, c = 7.6698 Å
α = 90.00°, β = 90.00°, γ = 120.00°
With the nearest neighbours (Å) after each atom.
Element x y z (fractional)
Cs 0.0000 0.0000 0.0000  6 Cl 3.53
Cd 0.6667 0.3333 0.5000  6 Cl 2.67
Pb 0.3333 0.6667 0.5000  6 Cl 2.75
Cl 0.3862 0.0083 0.2951  1 Cd 2.67, 1 Pb 2.75
Cl 0.3862 0.3779 0.7049  1 Cd 2.67, 1 Pb 2.75
Cl 0.6221 0.0083 0.7049  1 Cd 2.67, 1 Pb 2.75
Cl 0.6221 0.6138 0.2951  1 Cd 2.67, 1 Pb 2.75
Cl 0.9917 0.3779 0.2951  1 Cd 2.67, 1 Pb 2.75
Cl 0.9917 0.6138 0.7049  1 Cd 2.67, 1 Pb 2.75

---

What energy relative to the elements, uncorrected values result from the calculations? In sequence: -0.89 -1.01 0.08 0.96 -1.15 -0.66 0.35 -1.49 -1.49 -1.18 eV/atom.
What DOS at the Fermi energy values result from the calculations? In sequence: 0.000 14.183 2.342 4.211 2.353 0.167 5.443 0.000 0.000 6.194 states/eV/f.u..